(1)
# ZrP2BrO GGA-PBE relaxed
data_ZrP2BrO
_chemical_formula_sum 'Zr1 P2 Br1 O1'
_cell_length_a 5.276
_cell_length_b 5.276
_cell_length_c 4.037
_cell_angle_alpha 90.00
_cell_angle_beta 90.00
_cell_angle_gamma 90.00
_space_group_name_H-M_alt 'P 1'
_space_group_IT_number 1
loop_
_space_group_symop_operation_xyz
'x,y,z'
loop_
_atom_site_label
_atom_site_type_symbol
_atom_site_fract_x
_atom_site_fract_y
_atom_site_fract_z
Zr1 Zr 0.000 0.000 0.000
P1 P 0.500 0.000 0.000
O1 O 0.000 0.000 0.500
Br1 Br 0.500 0.500 0.500
P2 P 0.000 0.500 0.000
# Crystal system ... tetragonal
# SG ... No. 123
# Formation energy (no corrections) ... -0.28 eV/atom



(2)
# ZrPBrO2 GGA-PBE relaxed
data_ZrPBrO2
_chemical_formula_sum 'Zr1 P1 Br1 O2'
_cell_length_a 4.040
_cell_length_b 4.040
_cell_length_c 5.893
_cell_angle_alpha 90.00
_cell_angle_beta 90.00
_cell_angle_gamma 90.00
_space_group_name_H-M_alt 'P 1'
_space_group_IT_number 1
loop_
_space_group_symop_operation_xyz
'x,y,z'
loop_
_atom_site_label
_atom_site_type_symbol
_atom_site_fract_x
_atom_site_fract_y
_atom_site_fract_z
Br1 Br 0.500 0.500 0.500
O1 O 0.500 0.000 0.000
P1 P 0.000 0.000 0.500
Zr1 Zr 0.000 0.000 0.000
O2 O 0.000 0.500 0.000
# Crystal system ... tetragonal
# SG ... No. 123
# Formation energy (no corrections) ... -1.19 eV/atom



(3)
# Pa2Br4O3 GGA-PBE relaxed
data_Pa2Br4O3
_chemical_formula_sum 'Pa2 Br4 O3'
_cell_length_a 4.178
_cell_length_b 8.801
_cell_length_c 8.594
_cell_angle_alpha 118.97
_cell_angle_beta 114.90
_cell_angle_gamma 61.19
_space_group_name_H-M_alt 'P 1'
_space_group_IT_number 1
loop_
_space_group_symop_operation_xyz
'x,y,z'
loop_
_atom_site_label
_atom_site_type_symbol
_atom_site_fract_x
_atom_site_fract_y
_atom_site_fract_z
Br1 Br 0.786 0.302 0.543
Br2 Br 0.441 0.048 0.821
Br3 Br 0.559 0.952 0.179
Pa1 Pa 0.668 0.661 0.830
Pa2 Pa 0.332 0.339 0.170
O1 O 0.831 0.348 0.180
O2 O 0.000 0.500 0.000
Br4 Br 0.214 0.698 0.457
O3 O 0.169 0.652 0.820
# Crystal system ... triclinic
# SG ... No. 2
# Formation energy (no corrections) ... -2.45 eV/atom